[1]
The following is a GGA-PBE calculation of a geometry-optimized Ac8PtRh5 structure, from Alexandria.

a b c (Å): 8.1025 8.1025 8.1025
angles (deg): 109.25 109.92 109.25
Positions (direct):
Ac 0.1210 0.7514 0.9903
Ac 0.0097 0.1308 0.7611
Ac 0.7361 0.2500 0.3751
Ac 0.6249 0.3610 0.8749
Ac 0.5139 0.6390 0.2639
Ac 0.6303 0.8692 0.8790
Ac 0.2389 0.2486 0.3697
Ac 0.1251 0.7500 0.4861
Pt 0.2500 0.5000 0.7500
Rh 0.0031 0.3770 0.1230
Rh 0.8770 0.8801 0.2540
Rh 0.7460 0.6230 0.6261
Rh 0.5000 0.0000 0.5000
Rh 0.3739 0.1199 0.9969

* space group: I-4, No. 82
* DOS(E_F): 7.78 states/eV/cell
* calculated total energy: -6.114 eV per atom
* formation enthalpy at 0 K: -0.710 eV/atom


[2]
The following is a GGA-PBE calculation of a geometry-optimized Sr3SmS4 structure, from Alexandria.

a b c (Å): 4.1840 7.2823 7.2823
angles (deg): 109.30 90.00 90.00
Positions (direct):
Sr 0.0000 0.0000 0.5000
Sr 0.5000 0.5000 0.5000
Sr 0.0000 0.5000 0.0000
Sm 0.5000 0.0000 0.0000
S 0.0000 0.2382 0.2382
S 0.5000 0.7571 0.2429
S 0.0000 0.7618 0.7618
S 0.5000 0.2429 0.7571

* formation energy without anion corrections: -2082 meV per atom
* space group: Cmmm, No. 65
* DOS(E_F): 2.73 states/eV/cell
* calculated total energy: -5.367 eV per atom


[3]
The following is a GGA-PBE calculation of a geometry-optimized Ag3BiCl8 structure, from Alexandria.

a b c (Å): 7.6312 8.3585 7.3405
angles (deg): 118.90 90.00 117.16
Last column: magnetic moment on the atom in μB.
Positions (direct):
Ag 0.5000 0.0000 0.0000  0.26
Ag 0.5000 0.5000 0.0000  0.23
Ag 0.0000 0.5000 0.0000  0.23
Bi 0.0000 0.0000 0.0000  -0.01
Cl 0.2529 0.5057 0.7850  0.15
Cl 0.7471 0.4943 0.2150  0.15
Cl 0.2635 0.9949 0.7495  0.09
Cl 0.7314 0.9949 0.7495  0.09
Cl 0.7775 0.5550 0.7806  0.12
Cl 0.2225 0.4450 0.2194  0.12
Cl 0.2686 0.0051 0.2505  0.09
Cl 0.7365 0.0051 0.2505  0.09

* formation energy without anion corrections: -553 meV per atom
* space group: C2/m, No. 12
* DOS(E_F): 9.42 states/eV/cell
* calculated total energy: -2.820 eV per atom


[4]
The following is a GGA-PBE calculation of a geometry-optimized BaCrCu2Sb structure, from Alexandria.

a b c (Å): 5.0043 5.0043 4.9948
angles (deg): 90.00 90.00 90.00
Last column: magnetic moment on the atom in μB.
Positions (direct):
Sb 0.0000 0.0000 0.5000  -0.15
Ba 0.5000 0.5000 0.5000  -0.04
Cu 0.0000 0.5000 0.0000  0.08
Cu 0.5000 0.0000 0.0000  0.08
Cr 0.0000 0.0000 0.0000  2.85

* formation energy without anion corrections: 165 meV per atom
* space group: P4/mmm, No. 123
* DOS(E_F): 1.18 states/eV/cell
* calculated total energy: -4.607 eV per atom